1.
Computed, not measured: an optimized crystal structure of NaGaCu2 at the GGA-PBE level of DFT.

energy of formation = 214 meV/atom

Cell lengths 4.725, 4.725, 8.942 Å; angles 74.68, 74.68, 90.00 degrees
Sites, in units of the cell vectors:
Na (0.500, 0.500, 0.000)
Na (0.250, 0.750, 0.500)
Cu (0.875, 0.125, 0.250)
Cu (0.875, 0.625, 0.250)
Cu (0.375, 0.125, 0.750)
Cu (0.875, 0.125, 0.750)
Ga (0.000, 0.000, 0.000)
Ga (0.750, 0.250, 0.500)


2.
Computed, not measured: an optimized crystal structure of Pm4Tl3In at the GGA-PBE level of DFT.

distance to the lowest polymorph of the same formula = 0.38 eV per formula unit
energy of formation = -370 meV/atom

Cell lengths 4.672, 4.467, 11.831 Å; angles 90.00, 90.00, 90.00 degrees
Sites, in units of the cell vectors:
Pm (0.500, 0.500, 0.363)
Pm (0.000, 0.500, 0.865)
Pm (0.000, 0.000, 0.137)
Pm (0.500, 0.000, 0.636)
Tl (0.000, 0.500, 0.591)
Tl (0.000, 0.000, 0.411)
Tl (0.500, 0.000, 0.912)
In (0.500, 0.500, 0.085)


3.
Computed, not measured: an optimized crystal structure of Tb4PmPr2 at the GGA-PBE level of DFT.

distance to the lowest polymorph of the same formula = 0.33 eV per formula unit
energy of formation = 247 meV/atom

Cell lengths 4.601, 4.601, 11.855 Å; angles 101.19, 101.19, 90.00 degrees
Sites, in units of the cell vectors:
Tb (0.140, 0.140, 0.279)
Tb (0.860, 0.860, 0.721)
Tb (0.750, 0.250, 0.500)
Tb (0.250, 0.750, 0.500)
Pm (0.000, 0.000, 0.000)
Pr (0.597, 0.597, 0.195)
Pr (0.403, 0.403, 0.805)


4.
Computed, not measured: an optimized crystal structure of Li4ZnCd at the GGA-PBE level of DFT.

distance to the lowest polymorph of the same formula = 0.88 eV per formula unit
energy of formation = -16 meV/atom

Cell lengths 5.201, 5.201, 5.201 Å; angles 60.00, 60.00, 60.00 degrees
Each line ends with the local moment (μB).
Sites, in units of the cell vectors:
Li (0.874, 0.375, 0.375)  0.07
Li (0.375, 0.375, 0.874)  0.07
Li (0.375, 0.874, 0.375)  0.07
Li (0.375, 0.375, 0.375)  0.07
Zn (0.750, 0.750, 0.750)  0.00
Cd (0.000, 0.000, 0.000)  0.01


5.
Computed, not measured: an optimized crystal structure of LiTbTmIn at the GGA-PBE level of DFT.

energy of formation = -259 meV/atom

Cell lengths 5.248, 5.248, 5.248 Å; angles 60.00, 60.00, 60.00 degrees
Sites, in units of the cell vectors:
Tm (0.250, 0.250, 0.250)
Tb (0.750, 0.750, 0.750)
Li (0.000, 0.000, 0.000)
In (0.500, 0.500, 0.500)


6.
Computed, not measured: an optimized crystal structure of NaAgB2F8 at the GGA-PBE level of DFT.

formation energy from raw total energies = -2.600 eV per atom

Cell lengths 5.130, 5.130, 7.192 Å; angles 69.10, 69.10, 60.00 degrees
Each line ends with the local moment (μB).
Sites, in units of the cell vectors:
Na (0.500, 0.500, 0.500)  0.00
Ag (0.000, 0.000, 0.000)  0.12
B (0.237, 0.237, 0.288)  0.00
B (0.763, 0.763, 0.712)  0.00
F (0.166, 0.166, 0.503)  0.00
F (0.473, 0.342, 0.217)  0.00
F (0.834, 0.834, 0.497)  0.00
F (0.969, 0.473, 0.217)  0.00
F (0.031, 0.527, 0.783)  0.00
F (0.342, 0.969, 0.217)  0.00
F (0.658, 0.031, 0.783)  0.00
F (0.527, 0.658, 0.783)  0.00


7.
Computed, not measured: an optimized crystal structure of YTi2TlC at the GGA-PBE level of DFT.

energy of formation = -346 meV/atom

Cell lengths 4.343, 4.343, 4.830 Å; angles 90.00, 90.00, 90.00 degrees
Each line ends with the local moment (μB).
Sites, in units of the cell vectors:
Y (0.000, 0.000, 0.500)  0.02
Tl (0.500, 0.500, 0.500)  -0.02
C (0.000, 0.000, 0.000)  -0.02
Ti (0.000, 0.500, 0.000)  0.29
Ti (0.500, 0.000, 0.000)  0.29


8.
Computed, not measured: an optimized crystal structure of Tl4Hg2AuF at the GGA-PBE level of DFT.

formation energy from raw total energies = -0.404 eV per atom

Cell lengths 8.671, 8.671, 9.011 Å; angles 121.31, 121.31, 89.58 degrees
Sites, in units of the cell vectors:
Tl (0.211, 0.756, 0.983)
Tl (0.744, 0.289, 0.517)
Tl (0.256, 0.711, 0.483)
Tl (0.789, 0.244, 0.017)
Tl (0.759, 0.742, 0.956)
Tl (0.758, 0.741, 0.544)
Tl (0.242, 0.259, 0.456)
Tl (0.241, 0.258, 0.044)
Hg (0.500, 0.000, 0.000)
Hg (0.500, 0.000, 0.500)
Hg (0.000, 0.000, 0.500)
Hg (0.500, 0.500, 0.000)
Au (0.000, 0.500, 0.000)
Au (0.000, 0.500, 0.500)
F (0.500, 0.500, 0.500)
F (0.000, 0.000, 0.000)


9.
Computed, not measured: an optimized crystal structure of Ga2Fe3Ir3 at the GGA-PBE level of DFT.

energy of formation = -194 meV/atom

Cell lengths 4.213, 4.277, 6.022 Å; angles 90.00, 90.00, 90.00 degrees
Each line ends with the local moment (μB).
Sites, in units of the cell vectors:
Ga (0.000, 0.000, 0.247)  -0.05
Ga (0.000, 0.000, 0.753)  -0.05
Fe (0.500, 0.500, 0.239)  2.95
Fe (0.500, 0.500, 0.761)  2.95
Fe (0.000, 0.500, 0.000)  2.33
Ir (0.000, 0.500, 0.500)  0.39
Ir (0.500, 0.000, 0.000)  0.38
Ir (0.500, 0.000, 0.500)  0.24


10.
Computed, not measured: an optimized crystal structure of LaY3Er4 at the GGA-PBE level of DFT.

distance to the lowest polymorph of the same formula = 1.33 eV per formula unit
energy of formation = 178 meV/atom

Cell lengths 3.460, 6.688, 11.949 Å; angles 106.30, 98.32, 90.00 degrees
Sites, in units of the cell vectors:
Y (0.000, 0.500, 0.000)
Y (0.129, 0.883, 0.257)
Y (0.871, 0.117, 0.743)
Er (0.740, 0.248, 0.480)
Er (0.260, 0.752, 0.520)
Er (0.127, 0.371, 0.253)
Er (0.873, 0.629, 0.747)
La (0.500, 0.000, 0.000)


11.
Computed, not measured: an optimized crystal structure of Zn3MoC at the GGA-PBE level of DFT.

distance to the lowest polymorph of the same formula = 0.00 eV per formula unit
energy of formation = 1039 meV/atom

Cell lengths 4.121, 4.121, 4.121 Å; angles 90.00, 90.00, 90.00 degrees
Each line ends with the local moment (μB).
Sites, in units of the cell vectors:
C (0.000, 0.000, 0.000)  0.12
Mo (0.500, 0.500, 0.500)  1.68
Zn (0.000, 0.500, 0.000)  -0.01
Zn (0.000, 0.000, 0.500)  -0.01
Zn (0.500, 0.000, 0.000)  0.00


12.
Computed, not measured: an optimized crystal structure of TcHgN2F at the GGA-PBE level of DFT.

distance to the lowest polymorph of the same formula = 8.07 eV per formula unit
formation energy from raw total energies = 1.806 eV per atom

Cell lengths 4.198, 4.198, 4.464 Å; angles 90.00, 90.00, 90.00 degrees
Each line ends with the local moment (μB).
Sites, in units of the cell vectors:
N (0.000, 0.500, 0.000)  -0.46
N (0.500, 0.000, 0.000)  -0.46
F (0.000, 0.000, 0.500)  0.06
Hg (0.000, 0.000, 0.000)  -0.04
Tc (0.500, 0.500, 0.500)  3.97


13.
Computed, not measured: an optimized crystal structure of CdAs at the GGA-PBE level of DFT.

distance to the lowest polymorph of the same formula = 0.38 eV per formula unit
energy of formation = 107 meV/atom

Cell lengths 6.331, 6.331, 6.331 Å; angles 146.85, 138.63, 54.01 degrees
Sites, in units of the cell vectors:
As (0.959, 0.959, 0.000)
As (0.791, 0.291, 0.500)
Cd (0.533, 0.533, 0.000)
Cd (0.217, 0.717, 0.500)


14.
Computed, not measured: an optimized crystal structure of AgCl4 at the GGA-PBE level of DFT.

distance to the lowest polymorph of the same formula = 1.37 eV per formula unit
formation energy from raw total energies = 0.191 eV per atom

Cell lengths 5.008, 5.008, 5.008 Å; angles 90.00, 90.00, 90.00 degrees
Each line ends with the local moment (μB).
Sites, in units of the cell vectors:
Ag (0.500, 0.500, 0.500)  0.05
Cl (0.000, 0.000, 0.000)  0.76
Cl (0.500, 0.000, 0.500)  0.19
Cl (0.000, 0.500, 0.500)  0.19
Cl (0.500, 0.500, 0.000)  0.19


15.
Computed, not measured: an optimized crystal structure of Cd2NiMo at the GGA-PBE level of DFT.

distance to the lowest polymorph of the same formula = 1.21 eV per formula unit
energy of formation = 436 meV/atom

Cell lengths 6.355, 5.230, 2.722 Å; angles 90.70, 63.35, 119.40 degrees
Each line ends with the local moment (μB).
Sites, in units of the cell vectors:
Cd (0.000, 0.000, 0.000)  0.00
Cd (0.500, 0.000, 0.500)  0.00
Mo (0.000, 0.500, 0.500)  0.23
Ni (0.500, 0.500, 0.000)  0.36


16.
Computed, not measured: an optimized crystal structure of Ce2TcSb at the GGA-PBE level of DFT.

distance to the lowest polymorph of the same formula = 0.31 eV per formula unit
formation energy from raw total energies = -0.297 eV per atom

Cell lengths 4.169, 4.169, 7.505 Å; angles 73.87, 73.87, 60.00 degrees
Sites, in units of the cell vectors:
Sb (0.500, 0.500, 0.500)
Tc (0.000, 0.000, 0.000)
Ce (0.263, 0.263, 0.210)
Ce (0.737, 0.737, 0.790)


17.
Computed, not measured: an optimized crystal structure of Tb2TmZn3 at the GGA-PBE level of DFT.

energy of formation = -341 meV/atom

Cell lengths 5.041, 5.041, 6.174 Å; angles 90.00, 90.00, 120.00 degrees
Sites, in units of the cell vectors:
Tb (0.667, 0.333, 0.328)
Tb (0.333, 0.667, 0.672)
Tm (0.000, 0.000, 0.000)
Zn (0.000, 0.000, 0.500)
Zn (0.667, 0.333, 0.832)
Zn (0.333, 0.667, 0.168)


18.
Computed, not measured: an optimized crystal structure of CuRu2Cl at the GGA-PBE level of DFT.

distance to the lowest polymorph of the same formula = 1.71 eV per formula unit
formation energy from raw total energies = 0.673 eV per atom

Cell lengths 4.352, 4.352, 4.959 Å; angles 78.66, 78.66, 38.17 degrees
Sites, in units of the cell vectors:
Ru (0.003, 0.003, 0.015)
Ru (0.497, 0.497, 0.485)
Cu (0.250, 0.250, 0.250)
Cl (0.750, 0.750, 0.750)


19.
Computed, not measured: an optimized crystal structure of Tb3Ce2Dy6Th at the GGA-PBE level of DFT.

energy of formation = 41 meV/atom

Cell lengths 6.128, 6.128, 11.708 Å; angles 95.01, 95.01, 120.00 degrees
Each line ends with the local moment (μB).
Sites, in units of the cell vectors:
Tb (0.167, 0.833, 0.500)  0.00
Tb (0.833, 0.167, 0.500)  0.00
Tb (0.500, 0.500, 0.500)  0.00
Ce (0.333, 0.667, 0.000)  0.50
Ce (0.667, 0.333, 0.000)  0.50
Dy (0.917, 0.585, 0.753)  0.00
Dy (0.751, 0.751, 0.247)  0.00
Dy (0.083, 0.415, 0.247)  0.00
Dy (0.585, 0.917, 0.753)  0.00
Dy (0.249, 0.249, 0.753)  0.00
Dy (0.415, 0.083, 0.247)  0.00
Th (0.000, 0.000, 0.000)  0.02


20.
Computed, not measured: an optimized crystal structure of Ba2TbCu2O6 at the GGA-PBE level of DFT.

formation energy from raw total energies = -1.910 eV per atom

Cell lengths 6.051, 6.051, 6.831 Å; angles 63.71, 63.71, 60.00 degrees
Each line ends with the local moment (μB).
Sites, in units of the cell vectors:
Ba (0.786, 0.786, 0.643)  -0.01
Ba (0.214, 0.214, 0.357)  -0.01
Tb (0.000, 0.000, 0.000)  0.03
Cu (0.422, 0.422, 0.734)  0.66
Cu (0.578, 0.578, 0.266)  0.66
O (0.754, 0.754, 0.261)  0.25
O (0.232, 0.754, 0.261)  0.25
O (0.754, 0.232, 0.261)  0.25
O (0.246, 0.768, 0.739)  0.25
O (0.768, 0.246, 0.739)  0.25
O (0.246, 0.246, 0.739)  0.25


We obtain calculated total energy values of -23.36 -31.80 -31.10 -9.94 -14.79 -63.69 -35.57 -36.91 -59.58 -41.15 -18.68 -20.16 -10.70 -9.28 -16.70 -27.54 -19.60 -21.80 -60.30 -67.42 eV/cell for the records listed above, in that order.